Entry from Alexandria: a relaxed Th2Zn16Ag crystal (GGA-PBE).

The formation energy comes out at -0.215 eV per atom. As for the uncorrected energy: -2.22 eV/atom. Its density of states at the Fermi level is 5.5 states/eV/f.u. As for the mass density: 8.48 Mg/m³. The value obtained for the total magnetization is 0.000 μB per cell.

Unit cell a=9.0801 b=9.0801 c=13.3150 alpha=90.00 beta=90.00 gamma=120.00
With the nearest neighbours (Å) after each atom.
Space group R3m (No. 160, hexagonal axes)
Inequivalent atoms, fractional coordinates:
1 Th 0.0000 0.0000 0.0000 [3 per cell]  19 Zn 3.12-3.48
2 Th 0.0000 0.0000 0.3209 [3 per cell]  18 Zn 3.21-3.50, 1 Ag 3.22
3 Zn 0.0000 0.0000 0.7660 [3 per cell]  1 Ag 2.71, 12 Zn 2.73-3.00
4 Zn 0.9999 0.2918 0.6606 [18 per cell]  8 Zn 2.60-2.78
5 Zn 0.0076 0.5038 0.8134 [9 per cell]  8 Zn 2.59-2.78, 1 Ag 2.90
6 Zn 0.1675 0.3349 0.4939 [9 per cell]  9 Zn 2.60-2.73, 1 Ag 2.79
7 Zn 0.1705 0.3410 0.8416 [9 per cell]  9 Zn 2.59-2.86
8 Ag 0.0000 0.0000 0.5624 [3 per cell]  13 Zn 2.71-2.95

---

Entry from Alexandria: a relaxed Th2ZrAg6 crystal (GGA-PBE).

The formation energy comes out at -0.075 eV per atom. As for the uncorrected energy: -4.57 eV/atom. Its density of states at the Fermi level is 8.6 states/eV/f.u. As for the mass density: 10.08 Mg/m³. The value obtained for the total magnetization is 0.126 μB per cell.

Unit cell a=8.4235 b=8.4235 c=3.2222 alpha=90.00 beta=90.00 gamma=120.00
With the nearest neighbours (Å) after each atom.
Space group P6/mmm (No. 191)
Inequivalent atoms, fractional coordinates:
1 Th 0.3333 0.6667 0.0000 [2 per cell]  2 Th 3.22, 12 Ag 3.26
2 Zr 0.0000 0.0000 0.0000 [1 per cell]  12 Ag 3.20, 2 Zr 3.22
3 Ag 0.0000 0.3277 0.5000 [6 per cell]  3 Ag 2.76-2.90

---

Entry from Alexandria: a relaxed TiAg crystal (GGA-PBE).

The formation energy comes out at 0.136 eV per atom. As for the uncorrected energy: -5.24 eV/atom. Its density of states at the Fermi level is 2.2 states/eV/f.u. As for the mass density: 7.47 Mg/m³. The value obtained for the total magnetization is 0.000 μB per cell.

Unit cell a=10.1307 b=4.7091 c=5.8070 alpha=90.00 beta=90.00 gamma=90.00
With the nearest neighbours (Å) after each atom.
Space group Pnma (No. 62)
Inequivalent atoms, fractional coordinates:
1 Ti 0.0557 0.2500 0.0148 [4 per cell]  3 Ti 2.62-2.80, 2 Ag 2.76-2.89
2 Ti 0.1752 0.7500 0.2494 [4 per cell]  8 Ag 2.78-2.97, 3 Ti 2.80-2.98
3 Ag 0.0770 0.2500 0.5110 [4 per cell]  6 Ag 2.83-3.00, 6 Ti 2.87-2.97
4 Ag 0.1796 0.7500 0.7459 [4 per cell]  6 Ti 2.76-3.00, 4 Ag 2.91-3.00

---

Entry from Alexandria: a relaxed TiAg crystal (GGA-PBE).

The formation energy comes out at -0.023 eV per atom. As for the uncorrected energy: -5.40 eV/atom. Its density of states at the Fermi level is 1.2 states/eV/f.u. As for the mass density: 7.50 Mg/m³. The value obtained for the total magnetization is 0.000 μB per cell.

Unit cell a=3.2415 b=3.2415 c=6.5610 alpha=90.00 beta=90.00 gamma=90.00
With the nearest neighbours (Å) after each atom.
Space group P4/nmm (No. 129, origin choice 2)
Inequivalent atoms, fractional coordinates:
1 Ti 0.2500 0.2500 0.1232 [2 per cell]  4 Ag 2.80, 4 Ti 2.81
2 Ag 0.2500 0.2500 0.6309 [2 per cell]  4 Ti 2.80, 4 Ag 2.86

---

Entry from Alexandria: a relaxed TiAg crystal (GGA-PBE).

The formation energy comes out at 0.112 eV per atom. As for the uncorrected energy: -5.26 eV/atom. Its density of states at the Fermi level is 2.4 states/eV/f.u. As for the mass density: 7.47 Mg/m³. The value obtained for the total magnetization is 0.732 μB per cell.

Unit cell a=2.8895 b=2.8895 c=4.1462 alpha=90.00 beta=90.00 gamma=90.00
With the nearest neighbours (Å) after each atom.
Space group P4/mmm (No. 123)
Inequivalent atoms, fractional coordinates:
1 Ti 0.0000 0.0000 0.0000 [1 per cell]  4 Ti 2.89, 8 Ag 2.91
2 Ag 0.5000 0.5000 0.5000 [1 per cell]  4 Ag 2.89, 8 Ti 2.91

---

Entry from Alexandria: a relaxed Ti3Ag crystal (GGA-PBE).

The formation energy comes out at 0.096 eV per atom. As for the uncorrected energy: -6.54 eV/atom. Its density of states at the Fermi level is 7.0 states/eV/f.u. As for the mass density: 6.10 Mg/m³. The value obtained for the total magnetization is 0.000 μB per cell.

Unit cell a=3.9807 b=3.9807 c=8.6423 alpha=90.00 beta=90.00 gamma=90.00
With the nearest neighbours (Å) after each atom.
Space group I4/mmm (No. 139)
Inequivalent atoms, fractional coordinates:
1 Ti 0.0000 0.0000 0.0000 [2 per cell]  4 Ag 2.81, 8 Ti 2.94
2 Ti 0.0000 0.5000 0.2500 [4 per cell]  8 Ti 2.81-2.94, 4 Ag 2.94
3 Ag 0.0000 0.0000 0.5000 [2 per cell]  12 Ti 2.81-2.94